1.
{"formula": "CdCo2PBr", "functional": "GGA-PBEsol", "state": "relaxed", "e_form_raw_ev_per_atom": 0.398, "vol_a3_per_cell": 94.21, "relative_energy_mev_per_atom": 0, "final_energy_ev_per_atom": -4.469, "magmom_total_mub_per_cell": 3.8, "crystal_system": "tetragonal", "cell": [[-0.931, -4.044, 1.064], [2.890, -1.410, -2.830], [3.621, 0.123, 3.637]], "species": ["P", "Co", "Co", "Cd", "Br"], "fractional_positions": [[0.000, 0.000, 0.000], [0.500, 0.000, 0.000], [0.000, 0.500, 0.000], [0.000, 0.000, 0.500], [0.500, 0.500, 0.500]]}

2.
{"formula": "CdCo2PBr", "functional": "GGA-PBEsol", "state": "relaxed", "e_form_raw_ev_per_atom": 0.503, "vol_a3_per_cell": 94.01, "relative_energy_mev_per_atom": 106, "final_energy_ev_per_atom": -4.363, "magmom_total_mub_per_cell": 0.9, "crystal_system": "tetragonal", "cell": [[-3.787, 0.928, 1.258], [-1.300, -3.701, -1.181], [1.187, -2.038, 5.080]], "species": ["Br", "Co", "Co", "Cd", "P"], "fractional_positions": [[0.000, 0.000, 0.500], [0.000, 0.500, 0.000], [0.500, 0.000, 0.000], [0.500, 0.500, 0.500], [0.000, 0.000, 0.000]]}

3.
{"formula": "CrCd3Br", "functional": "GGA-PBEsol", "state": "relaxed", "e_form_raw_ev_per_atom": 0.534, "vol_a3_per_cell": 148.12, "final_energy_ev_per_atom": -2.606, "magmom_total_mub_per_cell": 4.8, "crystal_system": "cubic", "cell": [[5.291, 0.000, 0.000], [0.000, 5.291, 0.000], [0.000, 0.000, 5.291]], "species": ["Cd", "Cd", "Cd", "Cr", "Br"], "fractional_positions": [[0.500, 0.000, 0.000], [0.000, 0.500, 0.000], [0.000, 0.000, 0.500], [0.000, 0.000, 0.000], [0.500, 0.500, 0.500]]}